{"formula": "Cd2MoF6", "functional": "GGA+U", "state": "optimized geometry", "spacegroup": "P-3m1, No. 164", "magnetic_moment_mub_per_cell": 9.41, "e_tot_ev_per_cell": -117.68, "lattice_angstrom": [[5.079, 0.000, 0.000], [0.000, 8.824, -5.094], [0.000, 0.000, 10.189]], "species": ["F", "F", "F", "F", "F", "F", "F", "F", "F", "F", "F", "F", "F", "F", "F", "F", "F", "F", "Cd", "Cd", "Cd", "Cd", "Cd", "Cd", "Mo", "Mo", "Mo"], "fractional_positions": [[0.301, 0.864, 0.432], [0.301, 0.568, 0.136], [0.769, 0.767, 0.233], [0.699, 0.136, 0.568], [0.301, 0.568, 0.432], [0.808, 0.787, 0.893], [0.231, 0.535, 0.767], [0.808, 0.107, 0.893], [0.808, 0.107, 0.213], [0.231, 0.233, 0.767], [0.699, 0.432, 0.864], [0.192, 0.213, 0.107], [0.192, 0.893, 0.107], [0.192, 0.893, 0.787], [0.231, 0.233, 0.465], [0.699, 0.432, 0.568], [0.769, 0.465, 0.233], [0.769, 0.767, 0.535], [0.000, 0.355, 0.000], [0.000, 0.645, 0.000], [0.000, 0.645, 0.645], [0.000, 0.355, 0.355], [0.000, 0.000, 0.355], [0.000, 0.000, 0.645], [0.533, 0.667, 0.333], [0.000, 0.000, 0.000], [0.467, 0.333, 0.667]]}